DFT (GGA-PBE) results for a relaxed Mn2AsP crystal.

Values from the calculation:
Total magnetic moment ... 1.50 μB per atom
N(E_F) ... 3.4 states/eV/f.u.
Density ... 6.43 Mg/m³
Energy relative to the elements ... 0.083 eV per atom
V ... 55.7 Å³/cell
VASP energy ... -7.0171 eV/atom
Space group ... I-4m2

Cell lengths 4.9380, 4.9380, 4.9380 Å; angles 136.81, 136.81, 62.73 degrees
Fractional coordinates of all 4 atoms:
P 0.5000 0.5000 0.0000
Mn 0.0000 0.0000 0.0000
Mn 0.2500 0.7500 0.5000
As 0.7500 0.2500 0.5000